No. 1
Below is crystalline Nd3Ni4B2 at its relaxed geometry, with properties calculated at the PBE level.

```
Nd3Ni4B2
1.0
-2.144 2.532 1.839
2.233 -3.582 3.621
5.304 5.735 -1.713
Nd Ni B
3 4 2
Direct
0.612 0.223 0.690
0.000 0.000 0.000
0.388 0.777 0.310
0.717 0.434 0.085
0.283 0.566 0.915
0.833 0.666 0.573
0.167 0.334 0.427
0.672 0.344 0.326
0.328 0.656 0.674
```

Calculated values
The calculation puts the size of the total moment at 0.00 μB per atom. The calculation puts the formation energy at -256 kJ/mol of formula units. The volume comes out at 148 Å³ per cell. As for the crystal system: monoclinic. The calculation puts the calculated total energy at -5.937 eV per atom. As for the theoretical density: 7.7 g/cm3.



No. 2
Below is crystalline NaTh3S6 at its relaxed geometry, with properties calculated at the PBE level.

```
NaTh3S6
1.0
4.215 0.000 0.000
0.000 11.392 0.306
0.000 -3.496 11.046
Na Th S
2 6 12
Direct
0.750 0.043 0.672
0.250 0.957 0.328
0.750 0.428 0.833
0.250 0.572 0.167
0.750 0.690 0.507
0.250 0.310 0.493
0.750 0.158 0.076
0.250 0.842 0.924
0.750 0.477 0.608
0.250 0.523 0.392
0.750 0.916 0.087
0.250 0.084 0.913
0.750 0.405 0.073
0.250 0.595 0.927
0.750 0.723 0.269
0.250 0.277 0.731
0.750 0.147 0.464
0.250 0.853 0.536
0.750 0.789 0.762
0.250 0.211 0.238
```

Calculated values
As for the uncorrected formation energy: -1772 meV/atom. The calculation puts the size of the total moment at 0.00 μB per atom. The volume comes out at 535 Å³ per cell. As for the crystal system: monoclinic. The calculation puts the calculated total energy at -6.606 eV per atom. As for the theoretical density: 5.7 g/cm3.



No. 3
Below is crystalline Mn4SbW at its relaxed geometry, with properties calculated at the PBE level.

```
Mn4SbW
1.0
0.000 3.425 3.425
3.425 0.000 3.425
3.425 3.425 0.000
Mn Sb W
4 1 1
Direct
0.625 0.625 0.124
0.625 0.124 0.625
0.625 0.625 0.625
0.124 0.625 0.625
0.250 0.250 0.250
0.000 0.000 0.000
```

Calculated values
As for the uncorrected formation energy: 212 meV/atom. The calculation puts the size of the total moment at 0.89 μB per atom. The volume comes out at 80 Å³ per cell. As for the crystal system: cubic. The calculation puts the calculated total energy at -8.747 eV per atom. As for the theoretical density: 10.9 g/cm3.



No. 4
Below is crystalline KNpIn2I6 at its relaxed geometry, with properties calculated at the PBE level.

```
KNpIn2I6
1.0
-0.075 -8.287 -2.390
5.658 -2.855 -5.854
6.782 -5.361 2.809
K Np In I
1 1 2 6
Direct
0.816 0.816 0.552
0.326 0.325 0.023
0.520 0.520 0.440
0.010 0.010 0.968
0.569 0.212 0.248
0.212 0.970 0.248
0.971 0.569 0.248
0.409 0.697 0.762
0.697 0.131 0.762
0.132 0.409 0.762
```

Calculated values
As for the uncorrected formation energy: -823 meV/atom. The calculation puts the size of the total moment at 0.40 μB per atom. The volume comes out at 490 Å³ per cell. As for the crystal system: trigonal. The calculation puts the calculated total energy at -3.705 eV per atom. As for the theoretical density: 4.3 g/cm3.



No. 5
Below is crystalline CdCu2Pb2 at its relaxed geometry, with properties calculated at the PBE level.

```
CdCu2Pb2
1.0
-6.631 3.788 3.310
-4.574 -6.819 -1.361
0.831 -1.152 2.983
Pb Cu Cd
4 4 2
Direct
0.321 0.821 0.000
0.821 0.679 0.000
0.679 0.179 0.000
0.179 0.321 0.000
0.110 0.610 0.500
0.610 0.890 0.500
0.890 0.390 0.500
0.390 0.110 0.500
0.000 0.000 0.000
0.500 0.500 0.000
```

Calculated values
The calculation puts the size of the total moment at 0.00 μB per atom. The calculation puts the formation energy at 149 kJ/mol of formula units. The volume comes out at 229 Å³ per cell. As for the crystal system: tetragonal. The calculation puts the calculated total energy at -2.995 eV per atom. As for the theoretical density: 9.5 g/cm3.



No. 6
Below is crystalline RbCd2InRh at its relaxed geometry, with properties calculated at the PBE level.

```
RbCd2InRh
1.0
-2.088 3.888 -3.047
-4.917 -1.953 0.878
-0.456 3.019 4.165
Cd Rh Rb In
2 1 1 1
Direct
0.000 0.500 0.000
0.500 0.000 0.000
0.000 0.000 0.000
0.500 0.500 0.500
0.000 0.000 0.500
```

Calculated values
The calculation puts the size of the total moment at 0.00 μB per atom. The calculation puts the formation energy at -86 kJ/mol of formula units. The volume comes out at 149 Å³ per cell. As for the crystal system: tetragonal. The calculation puts the calculated total energy at -2.756 eV per atom. As for the theoretical density: 5.9 g/cm3.